# 1
Here is a relaxed Zr2ScZnC crystal from Alexandria. Energies are from PBE.

Lattice parameters (Å, degrees): 4.5427 4.5427 4.4573 90.00 90.00 90.00
Last column: nearest neighbours and their distance in Å.
Fractional coordinates of all 5 atoms:
C (0.0000, 0.0000, 0.0000)  2 Sc 2.23, 4 Zr 2.27
Zr (0.0000, 0.5000, 0.0000)  2 C 2.27
Zr (0.5000, 0.0000, 0.0000)  2 C 2.27
Sc (0.0000, 0.0000, 0.5000)  2 C 2.23
Zn (0.5000, 0.5000, 0.5000)  8 Zr 3.18, 4 Sc 3.21

The space-group type is P4/mmm, No. 123. Its formation energy is -206 kJ/mol of formula units. For the calculated volume, the calculation gives 18.40 A^3/atom.


# 2
Here is a relaxed ZrSc2ZnC crystal from Alexandria. Energies are from PBE.

Lattice parameters (Å, degrees): 4.4704 4.4704 4.5738 90.00 90.00 90.00
Last column: nearest neighbours and their distance in Å.
Fractional coordinates of all 5 atoms:
C (0.0000, 0.0000, 0.0000)  4 Sc 2.24, 2 Zr 2.29
Zn (0.5000, 0.5000, 0.5000)  4 Zr 3.16, 8 Sc 3.20
Zr (0.0000, 0.0000, 0.5000)  2 C 2.29
Sc (0.0000, 0.5000, 0.0000)  2 C 2.24
Sc (0.5000, 0.0000, 0.0000)  2 C 2.24

The space-group type is P4/mmm, No. 123. Its formation energy is -208 kJ/mol of formula units. For the calculated volume, the calculation gives 18.28 A^3/atom.


# 3
Here is a relaxed ZrSc3C crystal from Alexandria. Energies are from PBE.

Lattice parameters (Å, degrees): 5.0383 5.0383 5.0383 90.00 90.00 90.00
Last column: nearest neighbours and their distance in Å.
Fractional coordinates of all 5 atoms:
Sc (0.0000, 0.5000, 0.0000)  2 Zr 2.52
Sc (0.0000, 0.0000, 0.5000)  2 Zr 2.52
Sc (0.5000, 0.0000, 0.0000)  2 Zr 2.52
Zr (0.0000, 0.0000, 0.0000)  6 Sc 2.52
C (0.5000, 0.5000, 0.5000)  12 Sc 3.56

The space-group type is Pm-3m, No. 221. Its formation energy is 957 kJ/mol of formula units. The energy relative to the lowest polymorph listed for this composition comes out at 10.24 eV/f.u. For the calculated volume, the calculation gives 25.58 A^3/atom.


# 4
Here is a relaxed ZrSc2C2 crystal from Alexandria. Energies are from PBE.

Lattice parameters (Å, degrees): 4.1819 4.1819 5.3967 67.20 67.20 90.00
Last column: nearest neighbours and their distance in Å.
Fractional coordinates of all 5 atoms:
Zr (0.0000, 0.0000, 0.0000)  2 Sc 2.95, 8 C 3.08
C (0.7500, 0.2500, 0.5000)  4 Sc 2.20
C (0.2500, 0.7500, 0.5000)  4 Sc 2.20
Sc (0.3267, 0.3267, 0.3466)  4 C 2.20
Sc (0.6733, 0.6733, 0.6534)  4 C 2.20

The space-group type is I4/mmm, No. 139. Its formation energy is 135 kJ/mol of formula units. The energy relative to the lowest polymorph listed for this composition comes out at 4.41 eV/f.u. For the calculated volume, the calculation gives 15.79 A^3/atom.


# 5
Here is a relaxed ZrScC2 crystal from Alexandria. Energies are from PBE.

Lattice parameters (Å, degrees): 3.3287 3.3287 5.7614 73.28 73.28 59.91
Last column: nearest neighbours and their distance in Å.
Fractional coordinates of all 4 atoms:
C (0.2485, 0.2485, 0.2537)  3 Zr 2.34, 3 Sc 2.36-2.37
C (0.7515, 0.7515, 0.7463)  3 Zr 2.34, 3 Sc 2.36-2.37
Sc (0.0000, 0.0000, 0.0000)  6 C 2.36-2.37
Zr (0.5000, 0.5000, 0.5000)  6 C 2.34

The space-group type is C2/m, No. 12. Its formation energy is -195 kJ/mol of formula units. The energy relative to the lowest polymorph listed for this composition comes out at 0.00 eV/f.u. For the calculated volume, the calculation gives 13.03 A^3/atom.


# 6
Here is a relaxed Zr2ScC crystal from Alexandria. Energies are from PBE.

Lattice parameters (Å, degrees): 8.2383 8.2383 6.2542 48.81 48.81 90.00
Last column: nearest neighbours and their distance in Å.
Fractional coordinates of all 8 atoms:
Zr (0.4911, 0.1250, 0.2500)  2 C 2.34
Zr (0.2589, 0.6250, 0.2500)  2 C 2.34
Zr (0.8750, 0.7411, 0.7500)  2 C 2.34
Zr (0.3750, 0.5089, 0.7500)  2 C 2.34
Sc (0.0000, 0.0000, 0.0000)  2 C 2.28
Sc (0.7500, 0.2500, 0.5000)  2 C 2.28
C (0.2500, 0.7500, 0.5000)  2 Sc 2.28, 4 Zr 2.34
C (0.5000, 0.5000, 0.0000)  2 Sc 2.28, 4 Zr 2.34

The space-group type is I-42d, No. 122. Its formation energy is 13 kJ/mol of formula units. For the calculated volume, the calculation gives 19.31 A^3/atom.